# 1
ZnIn2Pt (PBE, relaxed); V = 19.162 Å³ per atom; E_form = -0.1145 eV/atom
1.0
4.992 -0.033 -0.007
1.064 4.877 0.007
-3.023 -2.428 3.144
In Pt Zn
2 1 1
Cartesian
6.055 4.843 0.000
3.028 2.422 0.000
2.498 -0.020 1.569
0.534 2.436 1.575

# 2
Zn2In2Pt (PBE, relaxed); excess energy over the best structure of this formula in the dataset = 57 meV per atom; V = 20.046 Å³ per atom; E_form = -0.0041 eV/atom
1.0
3.477 0.000 0.000
0.000 3.477 0.000
1.738 1.738 8.292
Zn Pt In
2 1 2
Cartesian
3.477 1.738 4.146
1.738 3.477 4.146
0.000 0.000 0.000
1.738 1.738 1.562
3.477 3.477 6.729

# 3
ZnInPt3 (PBE, relaxed); excess energy over the best structure of this formula in the dataset = 0 meV per atom; V = 19.872 Å³ per atom; E_form = 0.4102 eV/atom
1.0
-2.872 -3.573 0.658
3.377 -2.316 2.164
-1.340 1.822 4.042
Zn Pt In
1 3 1
Cartesian
0.000 0.000 0.000
1.689 -1.158 1.082
-0.670 0.911 2.021
-1.436 -1.787 0.329
-0.417 -2.034 3.432

# 4
Zr6InPt (PBE, relaxed); V = 21.315 Å³ per atom; E_form = -0.3881 eV/atom
1.0
7.837 0.013 0.202
3.907 6.795 0.131
3.833 2.255 3.314
Zr In Pt
6 1 1
Cartesian
12.640 5.089 2.735
12.686 8.483 2.752
5.852 2.236 0.976
2.890 0.580 0.895
2.936 3.974 0.912
9.724 6.827 2.670
7.788 4.532 1.823
0.000 0.000 0.000

# 5
Zr2In2Pt (PBE, relaxed); excess energy over the best structure of this formula in the dataset = 0 meV per atom; V = 21.442 Å³ per atom; E_form = -0.3569 eV/atom
1.0
6.957 0.000 0.000
0.000 6.957 0.000
0.000 0.000 4.430
Zr Pt In
4 2 4
Cartesian
1.161 4.640 2.215
4.640 5.796 2.215
5.796 2.317 2.215
2.317 1.161 2.215
0.000 0.000 0.000
3.479 3.479 0.000
2.494 5.972 0.000
5.972 4.464 0.000
4.464 0.985 0.000
0.985 2.494 0.000

# 6
ZrInPt2 (PBE, relaxed); V = 20.361 Å³ per atom; E_form = -0.3952 eV/atom
1.0
-4.296 -1.536 5.903
-5.662 -1.680 -4.558
-4.089 -4.395 0.595
Zr Pt In
2 4 2
Cartesian
-4.979 -1.608 0.672
-7.365 -3.842 -1.646
-4.381 -2.257 3.222
-5.132 -2.353 -1.916
-6.845 -4.516 0.914
-11.735 -6.098 1.658
0.000 0.000 0.000
-6.682 -3.770 3.585